[1]
Crystalline Ru2Pt at its relaxed geometry. Source: Alexandria, functional PBE-GGA.

Lattice parameters (Å, degrees): 8.9118 8.9118 8.9118 162.50 153.53 31.91
Fractional coordinates of all 6 atoms:
Ru1 0.2885 0.0385 0.2500
Ru2 0.4392 0.1892 0.2500
Ru3 0.5608 0.8108 0.7500
Ru4 0.7115 0.9615 0.7500
Pt1 0.1281 0.3781 0.7500
Pt2 0.8719 0.6219 0.2500

- Calculated total energy: -0.288 Ha/atom
- Mass density: 13.91 Mg/m³
- Magnetic moment: 0.000 μB/atom

***

[2]
Crystalline Ru2Pt at its relaxed geometry. Source: Alexandria, functional PBE-GGA.

Lattice parameters (Å, degrees): 2.7344 2.7344 6.7306 90.00 90.00 120.00
Fractional coordinates of all 3 atoms:
Ru1 0.3333 0.6667 0.1535
Ru2 0.6667 0.3333 0.8465
Pt1 0.0000 0.0000 0.5000

- Calculated total energy: -0.301 Ha/atom
- Mass density: 15.13 Mg/m³
- Magnetic moment: 0.000 μB/atom

***

[3]
Crystalline Ru2Pt at its relaxed geometry. Source: Alexandria, functional PBE-GGA.

Lattice parameters (Å, degrees): 7.4905 7.4905 2.7054 90.00 90.00 120.00
Fractional coordinates of all 9 atoms:
Ru1 0.0000 0.3049 0.0000
Ru2 0.0000 0.6420 0.5000
Ru3 0.3049 0.0000 0.0000
Ru4 0.3580 0.3580 0.5000
Ru5 0.6420 0.0000 0.5000
Ru6 0.6951 0.6951 0.0000
Pt1 0.0000 0.0000 0.5000
Pt2 0.3333 0.6667 0.0000
Pt3 0.6667 0.3333 0.0000

- Calculated total energy: -0.296 Ha/atom
- Mass density: 15.05 Mg/m³
- Magnetic moment: 0.000 μB/atom

***

[4]
Crystalline RuPt3 at its relaxed geometry. Source: Alexandria, functional PBE-GGA.

Lattice parameters (Å, degrees): 2.7544 2.7544 16.0506 90.00 90.00 90.00
Fractional coordinates of all 8 atoms:
Ru1 0.2500 0.2500 0.0549
Ru2 0.7500 0.7500 0.9451
Pt1 0.2500 0.2500 0.3083
Pt2 0.2500 0.2500 0.5635
Pt3 0.2500 0.2500 0.8210
Pt4 0.7500 0.7500 0.1790
Pt5 0.7500 0.7500 0.4365
Pt6 0.7500 0.7500 0.6917

- Calculated total energy: -0.253 Ha/atom
- Mass density: 18.72 Mg/m³
- Magnetic moment: 0.000 μB/atom

***

Among the records above, which one has the highest calculated total energy?
RuPt3